DFT (PBE-GGA) results for crystalline RbAgO3 at its relaxed geometry.

Output
**V**: 144.8 Å³ per cell
**Energy**: -3.72 eV per atom

CIF file:
```
data_RbAgO3
_chemical_formula_sum 'Rb2 Ag2 O6'
_cell_length_a 5.8870
_cell_length_b 5.8870
_cell_length_c 5.8870
_cell_angle_alpha 60.16
_cell_angle_beta 60.16
_cell_angle_gamma 60.16
_space_group_name_H-M_alt 'P 1'
_space_group_IT_number 1
_space_group_name_Hall 'P 1'
loop_
_atom_site_label
_atom_site_fract_x
_atom_site_fract_y
_atom_site_fract_z
Rb1 0.2500 0.2500 0.2500
Rb2 0.7500 0.7500 0.7500
Ag1 0.0000 0.0000 0.0000
Ag2 0.5000 0.5000 0.5000
O1 0.2282 0.7500 0.2718
O2 0.2500 0.7282 0.7718
O3 0.2718 0.2282 0.7500
O4 0.7282 0.7718 0.2500
O5 0.7500 0.2718 0.2282
O6 0.7718 0.2500 0.7282
```